Material: Sc2NiCl
Method: DFT, meta-GGA SCAN
State: single point on PBEsol structure

## Properties
**Energy above the most stable polymorph in this dataset**: 0.543 eV per formula unit
**Final energy**: -110.68 eV/cell
**E_form (uncorrected)**: -678 meV per atom

Unit cell a=9.940 b=3.157 c=4.235 alpha=90.00 beta=97.01 gamma=90.00
Space group Cm (No. 8)
One atom of each set of equivalent atoms:
Sc 0.000 0.000 0.000 (multiplicity 2)
Sc 0.226 0.500 0.554 (multiplicity 2)
Ni 0.467 0.000 0.497 (multiplicity 2)
Cl 0.266 0.000 0.069 (multiplicity 2)



Material: ScNiCl
Method: DFT, meta-GGA SCAN
State: single point on PBEsol structure

## Properties
**Final energy**: -80.97 eV/cell
**E_form (uncorrected)**: -699 meV per atom

Unit cell a=3.069 b=3.069 c=11.096 alpha=90.00 beta=90.00 gamma=90.00
Space group I4mm (No. 107)
One atom of each set of equivalent atoms:
Sc 0.000 0.000 0.000 (multiplicity 2)
Ni 0.000 0.000 0.630 (multiplicity 2)
Cl 0.000 0.000 0.349 (multiplicity 2)



Material: ScNiCl2
Method: DFT, meta-GGA SCAN
State: single point on PBEsol structure

## Properties
**Energy above the most stable polymorph in this dataset**: 1.924 eV per formula unit
**Final energy**: -97.53 eV/cell
**E_form (uncorrected)**: -599 meV per atom

Unit cell a=3.532 b=3.532 c=10.032 alpha=90.00 beta=90.00 gamma=90.00
Space group I-4m2 (No. 119)
One atom of each set of equivalent atoms:
Sc 0.000 0.000 0.000 (multiplicity 2)
Ni 0.000 0.500 0.750 (multiplicity 2)
Cl 0.000 0.000 0.500 (multiplicity 2)
Cl 0.000 0.500 0.250 (multiplicity 2)



Material: ScNi2Cl
Method: DFT, meta-GGA SCAN
State: single point on PBEsol structure

## Properties
**Final energy**: -218.29 eV/cell
**E_form (uncorrected)**: -3 meV per atom

Unit cell a=6.077 b=6.077 c=6.077 alpha=90.00 beta=90.00 gamma=90.00
Space group F-43m (No. 216)
One atom of each set of equivalent atoms:
Sc 0.000 0.000 0.000 (multiplicity 4)
Ni 0.000 0.000 0.500 (multiplicity 4)
Ni 0.250 0.250 0.750 (multiplicity 4)
Cl 0.250 0.250 0.250 (multiplicity 4)